# 1
# HfZrB2S, relaxed, DFT PBEsol
# density	5465	kg/m3
# electronic total energy	-30.2	eV per formula unit
# V	19.65	Å³/atom
# ΔE_f (raw)	753	kJ/mol of formula units
data_HfZrB2S
_chemical_formula_sum 'Hf1 Zr1 B2 S1'
_symmetry_space_group_name_H-M 'P 1'
_symmetry_Int_Tables_number 1
_symmetry_space_group_name_Hall 'P 1'
_cell_length_a 4.102
_cell_length_b 4.102
_cell_length_c 5.840
_cell_angle_alpha 90.00
_cell_angle_beta 90.00
_cell_angle_gamma 90.00
loop_
_atom_site_label
_atom_site_fract_x
_atom_site_fract_y
_atom_site_fract_z
Hf1 0.000 0.000 0.500
Zr1 0.000 0.000 0.000
S1 0.500 0.500 0.500
B1 0.000 0.500 0.000
B2 0.500 0.000 0.000



# 2
# HfSiB2Sb, relaxed, DFT PBEsol
# density	5496	kg/m3
# electronic total energy	-27.2	eV per formula unit
# V	21.15	Å³/atom
# ΔE_f (raw)	735	kJ/mol of formula units
data_HfSiB2Sb
_chemical_formula_sum 'Hf1 Si1 B2 Sb1'
_symmetry_space_group_name_H-M 'P 1'
_symmetry_Int_Tables_number 1
_symmetry_space_group_name_Hall 'P 1'
_cell_length_a 4.418
_cell_length_b 4.418
_cell_length_c 5.417
_cell_angle_alpha 90.00
_cell_angle_beta 90.00
_cell_angle_gamma 90.00
loop_
_atom_site_label
_atom_site_fract_x
_atom_site_fract_y
_atom_site_fract_z
Sb1 0.000 0.000 0.500
B1 0.000 0.500 0.000
B2 0.500 0.000 0.000
Hf1 0.000 0.000 0.000
Si1 0.500 0.500 0.500



# 3
# Hf2ScSnB, relaxed, DFT PBEsol
# ΔH_f (0 K)	1.318	eV/atom
# density	8351	kg/m3
# electronic total energy	-32.3	eV per formula unit
# V	21.13	Å³/atom
data_Hf2ScSnB
_chemical_formula_sum 'Hf2 Sc1 Sn1 B1'
_symmetry_space_group_name_H-M 'P 1'
_symmetry_Int_Tables_number 1
_symmetry_space_group_name_Hall 'P 1'
_cell_length_a 4.345
_cell_length_b 4.932
_cell_length_c 4.932
_cell_angle_alpha 90.00
_cell_angle_beta 90.00
_cell_angle_gamma 90.00
loop_
_atom_site_label
_atom_site_fract_x
_atom_site_fract_y
_atom_site_fract_z
B1 0.500 0.000 0.000
Sc1 0.000 0.000 0.000
Hf1 0.000 0.000 0.500
Hf2 0.000 0.500 0.000
Sn1 0.500 0.500 0.500



# 4
# HfBSe3, relaxed, DFT PBEsol
# density	8256	kg/m3
# electronic total energy	-28.2	eV per formula unit
# V	17.14	Å³/atom
# ΔE_f (raw)	81	kJ/mol of formula units
data_HfBSe3
_chemical_formula_sum 'Hf1 B1 Se3'
_symmetry_space_group_name_H-M 'P 1'
_symmetry_Int_Tables_number 1
_symmetry_space_group_name_Hall 'P 1'
_cell_length_a 4.409
_cell_length_b 4.409
_cell_length_c 4.409
_cell_angle_alpha 90.00
_cell_angle_beta 90.00
_cell_angle_gamma 90.00
loop_
_atom_site_label
_atom_site_fract_x
_atom_site_fract_y
_atom_site_fract_z
Hf1 0.500 0.500 0.500
B1 0.000 0.000 0.000
Se1 0.000 0.000 0.500
Se2 0.000 0.500 0.000
Se3 0.500 0.000 0.000